Here is Ho5Al2Sn2 after structural relaxation from Alexandria. Energies are from PBE-GGA.

Summary:
Total energy, Ha/atom: -0.176
Total moment, μB per formula unit: 0.00
Energy of formation, eV/atom: -0.5156

```
data_Ho5Al2Sn2
_chemical_formula_sum 'Ho20 Al8 Sn8'
_cell_length_a 15.4828
_cell_length_b 8.0114
_cell_length_c 7.8809
_cell_angle_alpha 90.00
_cell_angle_beta 90.00
_cell_angle_gamma 90.00
_space_group_name_H-M_alt 'C m c e'
_space_group_IT_number 64
_space_group_name_Hall '-C 2ac 2'
loop_
_atom_site_label
_atom_site_type_symbol
_atom_site_fract_x
_atom_site_fract_y
_atom_site_fract_z
_atom_site_occupancy
Ho1 Ho 0.0000 0.0000 0.0000 1
Ho2 Ho 0.1356 0.1780 0.3248 1
Al1 Al 0.0000 0.1181 0.6189 1
Sn1 Sn 0.2092 0.0000 0.0000 1
```

***

Here is Ho3Ge2Ru2 after structural relaxation from Alexandria. Energies are from PBE-GGA.

Summary:
Total energy, Ha/atom: -0.244
Total moment, μB per formula unit: 0.00
Energy of formation, eV/atom: -0.7115

```
data_Ho3Ge2Ru2
_chemical_formula_sum 'Ho12 Ge8 Ru8'
_cell_length_a 5.5340
_cell_length_b 7.6895
_cell_length_c 13.5626
_cell_angle_alpha 90.00
_cell_angle_beta 90.00
_cell_angle_gamma 90.00
_space_group_name_H-M_alt 'P b c m'
_space_group_IT_number 57
loop_
_space_group_symop_operation_xyz
'x,y,z'
'-x,-y,-z'
'-x,-y,z+1/2'
'x,y,-z+1/2'
'x,-y+1/2,-z'
'-x,y+1/2,z'
'-x,y+1/2,-z+1/2'
'x,-y+1/2,z+1/2'
loop_
_atom_site_label
_atom_site_type_symbol
_atom_site_fract_x
_atom_site_fract_y
_atom_site_fract_z
_atom_site_occupancy
Ho1 Ho 0.1257 0.2327 0.2500 1
Ho2 Ho 0.3499 0.5976 0.0992 1
Ge1 Ge 0.1280 0.2500 0.0000 1
Ge2 Ge 0.3752 0.6145 0.7500 1
Ru1 Ru 0.1479 0.5334 0.5916 1
```

***

Here is Li2Mg3Cd2 after structural relaxation from Alexandria. Energies are from PBE-GGA.

Summary:
Total energy, Ha/atom: -0.060
Total moment, μB per formula unit: 0.00
Energy of formation, eV/atom: -0.1343
Energy above the lowest structure with this stoichiometry, meV/atom: 0.0

```
data_Li2Mg3Cd2
_chemical_formula_sum 'Li4 Mg6 Cd4'
_cell_length_a 8.2979
_cell_length_b 4.8281
_cell_length_c 7.5625
_cell_angle_alpha 90.00
_cell_angle_beta 111.81
_cell_angle_gamma 90.00
_space_group_name_H-M_alt 'C 1 2/m 1'
_space_group_IT_number 12
loop_
_space_group_symop_operation_xyz
'x,y,z'
'-x,-y,-z'
'-x,y,-z'
'x,-y,z'
'x+1/2,y+1/2,z'
'-x+1/2,-y+1/2,-z'
'-x+1/2,y+1/2,-z'
'x+1/2,-y+1/2,z'
loop_
_atom_site_label
_atom_site_type_symbol
_atom_site_fract_x
_atom_site_fract_y
_atom_site_fract_z
_atom_site_occupancy
Li1 Li 0.2167 0.0000 0.1479 1
Mg1 Mg 0.0000 0.5000 0.0000 1
Mg2 Mg 0.1417 0.5000 0.4236 1
Cd1 Cd 0.0771 0.0000 0.7337 1
```

***

Here is Pm12Hg3N5 after structural relaxation from Alexandria. Energies are from PBE-GGA.

Summary:
Total energy, Ha/atom: -0.210
Total moment, μB per formula unit: 0.00

```
data_Pm12Hg3N5
_chemical_formula_sum 'Pm96 Hg24 N40'
_cell_length_a 16.0616
_cell_length_b 16.0616
_cell_length_c 16.0616
_cell_angle_alpha 90.00
_cell_angle_beta 90.00
_cell_angle_gamma 90.00
_space_group_name_H-M_alt 'I a -3 d'
_space_group_IT_number 230
_space_group_name_Hall '-I 4bd 2c 3'
loop_
_atom_site_label
_atom_site_type_symbol
_atom_site_fract_x
_atom_site_fract_y
_atom_site_fract_z
_atom_site_occupancy
Pm1 Pm 0.0374 0.0503 0.6477 1
Hg1 Hg 0.0000 0.2500 0.1250 1
N1 N 0.0000 0.0000 0.0000 1
N2 N 0.0000 0.2500 0.3750 1
```

***

Here is Sm3Cu2Pt after structural relaxation from Alexandria. Energies are from PBE-GGA.

Summary:
Total energy, Ha/atom: -0.191
Total moment, μB per formula unit: 0.00
Energy of formation, eV/atom: -0.4732

```
data_Sm3Cu2Pt
_chemical_formula_sum 'Sm12 Cu8 Pt4'
_cell_length_a 11.9472
_cell_length_b 4.3844
_cell_length_c 10.9992
_cell_angle_alpha 90.00
_cell_angle_beta 90.00
_cell_angle_gamma 90.00
_space_group_name_H-M_alt 'P n m a'
_space_group_IT_number 62
loop_
_space_group_symop_operation_xyz
'x,y,z'
'-x,-y,-z'
'-x+1/2,-y,z+1/2'
'x+1/2,y,-z+1/2'
'x+1/2,-y+1/2,-z+1/2'
'-x+1/2,y+1/2,z+1/2'
'-x,y+1/2,-z'
'x,-y+1/2,z'
loop_
_atom_site_label
_atom_site_type_symbol
_atom_site_fract_x
_atom_site_fract_y
_atom_site_fract_z
_atom_site_occupancy
Sm1 Sm 0.0521 0.2500 0.1247 1
Sm2 Sm 0.1127 0.7500 0.5653 1
Sm3 Sm 0.2235 0.2500 0.8027 1
Cu1 Cu 0.0130 0.7500 0.3030 1
Cu2 Cu 0.1947 0.7500 0.0143 1
Pt1 Pt 0.1263 0.2500 0.3771 1
```

***

Here is Ac2TeO6F after structural relaxation from Alexandria. Energies are from PBE-GGA.

Summary:
Total energy, Ha/atom: -0.242
Total moment, μB per formula unit: 1.03

```
data_Ac2TeO6F
_chemical_formula_sum 'Ac6 Te3 O18 F3'
_cell_length_a 6.8129
_cell_length_b 6.8129
_cell_length_c 15.2506
_cell_angle_alpha 90.00
_cell_angle_beta 90.00
_cell_angle_gamma 120.00
_space_group_name_H-M_alt 'R 3'
_space_group_IT_number 146
_space_group_name_Hall 'R 3'
loop_
_atom_site_label
_atom_site_type_symbol
_atom_site_fract_x
_atom_site_fract_y
_atom_site_fract_z
_atom_site_occupancy
Ac1 Ac 0.0000 0.0000 0.0000 1
Ac2 Ac 0.0000 0.0000 0.4524 1
Te1 Te 0.0000 0.0000 0.2205 1
O1 O 0.0793 0.5405 0.8053 1
O2 O 0.2012 0.4036 0.9622 1
F1 F 0.0000 0.0000 0.6026 1
```